#A
NaHgTe2I | Alexandria via LeMat-Bulk | PBE | relaxed; volume = 43.19 Å³ per atom; DOS(E_F) = 0.68 states/eV/atom; total magnetization = 0.80 μB/atom
1.0
6.033 0.000 0.000
0.000 6.033 0.000
0.000 0.000 5.933
I Na Te Hg
1 1 2 1
Cartesian
0.000 0.000 2.967
0.000 0.000 0.000
0.000 3.017 0.000
3.017 0.000 0.000
3.017 3.017 2.967


#B
NaHgTe2I | Alexandria via LeMat-Bulk | PBE | relaxed; volume = 41.31 Å³ per atom; DOS(E_F) = 1.74 states/eV/atom; total magnetization = 0.00 μB/atom
1.0
5.593 0.000 0.000
0.000 5.593 0.000
0.000 0.000 6.602
I Na Te Hg
1 1 2 1
Cartesian
0.000 0.000 3.301
2.797 2.797 3.301
0.000 2.797 0.000
2.797 0.000 0.000
0.000 0.000 0.000


Most stable = #B